# CdIn2Pt8

A relaxed CdIn2Pt8 crystal (GGA-PBE, Alexandria).

Structure (POSCAR):
```
CdIn2Pt8
1.0
3.793 0.000 -1.152
-0.999 7.399 -3.291
0.178 -1.180 7.408
In Pt Cd
2 8 1
Cartesian
3.004 1.772 3.072
-0.032 4.447 -0.107
2.172 2.691 0.331
0.552 0.882 1.816
1.673 6.388 -1.313
-0.756 5.596 -2.489
2.420 5.336 1.149
3.727 0.623 5.454
1.299 -0.170 4.279
0.800 3.528 2.635
1.897 0.000 -0.576
```

Properties
Formation energy from the elements   -0.267 eV/atom
Calculated density   16344 kg/m3